Ac2AgTeO6 | PBE | optimized geometry

Structure (extended XYZ):
```
10
Lattice="3.0738 1.7747 5.0314 -3.0738 1.7747 5.0314 0.0000 -3.5494 5.0314" Properties=species:S:1:pos:R:3 pbc="T T T"
Ac 0.0000 0.0000 0.0000
Ac 0.0000 0.0000 7.4707
Ag 0.0000 0.0000 3.5308
Te 0.0000 0.0000 10.8539
O -1.2909 -2.0877 6.8517
O -1.6039 0.1524 9.5260
O -1.1626 2.1618 6.8517
O 0.6700 -1.4653 9.5260
O 2.4535 -0.0741 6.8517
O 0.9339 1.3129 9.5260
```

Calculated values
* raw formation energy: -20.3 eV per formula unit
* VASP energy: -64.29 eV/cell
* space group: No. 146


AcAgTeO | PBE | optimized geometry

Structure (extended XYZ):
```
8
Lattice="4.3721 0.0000 0.0000 0.0000 4.3721 0.0000 0.0000 0.0000 10.0632" Properties=species:S:1:pos:R:3 pbc="T T T"
Ac 1.0930 1.0930 1.2276
Ac 3.2791 3.2791 8.8357
Ag 1.0930 3.2791 5.0316
Ag 3.2791 1.0930 5.0316
Te 1.0930 1.0930 6.9555
Te 3.2791 3.2791 3.1077
O 1.0930 3.2791 0.0000
O 3.2791 1.0930 0.0000
```

Calculated values
* raw formation energy: -7.6 eV per formula unit
* VASP energy: -45.35 eV/cell
* space group: No. 129